The following is a DFT calculation (PBE-GGA) of a geometry-optimized Ta2Fe5SiB2 structure.

Cell: 2.8804 8.6241 8.6241 Å, 90.00 90.00 90.00°
Each line ends with the local moment (μB).
Sites, in units of the cell vectors:
Fe 0.5000 0.2854 0.5670  -0.01
Fe 0.5000 0.5670 0.7146  -0.01
Fe 0.5000 0.0670 0.7854  -0.01
Fe 0.5000 0.0000 0.5000  0.17
Fe 0.5000 0.4330 0.2854  -0.01
Fe 0.5000 0.7854 0.9330  -0.01
Fe 0.5000 0.5000 0.0000  0.17
Fe 0.5000 0.9330 0.2146  -0.01
Fe 0.5000 0.7146 0.4330  -0.01
Fe 0.5000 0.2146 0.0670  -0.01
Si 0.0000 0.0000 0.0000  0.00
Si 0.0000 0.5000 0.5000  0.00
Ta 0.0000 0.8237 0.6763  -0.01
Ta 0.0000 0.1763 0.3237  -0.01
Ta 0.0000 0.3237 0.8237  -0.01
Ta 0.0000 0.6763 0.1763  -0.01
B 0.0000 0.8781 0.3781  0.00
B 0.0000 0.3781 0.1219  0.00
B 0.0000 0.6219 0.8781  0.00
B 0.0000 0.1219 0.6219  0.00

The symmetry is P4/mbm (127). The uncorrected formation energy comes out at -0.5452 eV per atom. As for the total energy: -9.02 eV/atom.


The following is a DFT calculation (PBE-GGA) of a geometry-optimized TbFe2Si2B structure.

Cell: 3.8855 3.8855 5.2228 Å, 90.00 90.00 90.00°
Sites, in units of the cell vectors:
Si 0.5000 0.5000 0.2681
Si 0.5000 0.5000 0.7319
Fe 0.5000 0.0000 0.0000
Fe 0.0000 0.5000 0.0000
B 0.0000 0.0000 0.0000
Tb 0.0000 0.0000 0.5000

The symmetry is P4/mmm (123). The uncorrected formation energy comes out at -0.5888 eV per atom. As for the total energy: -7.10 eV/atom.


The following is a DFT calculation (PBE-GGA) of a geometry-optimized Tb2Fe5SiB2 structure.

Cell: 3.0789 8.9519 8.9519 Å, 90.00 90.00 90.00°
Each line ends with the local moment (μB).
Sites, in units of the cell vectors:
B 0.0000 0.3811 0.1189  -0.09
B 0.0000 0.8811 0.3811  -0.09
B 0.0000 0.1189 0.6189  -0.09
B 0.0000 0.6189 0.8811  -0.09
Fe 0.5000 0.2194 0.0659  1.15
Fe 0.5000 0.2806 0.5659  1.15
Fe 0.5000 0.9341 0.2194  1.15
Fe 0.5000 0.7806 0.9341  1.15
Fe 0.5000 0.0000 0.5000  0.89
Fe 0.5000 0.5000 0.0000  0.89
Fe 0.5000 0.0659 0.7806  1.15
Fe 0.5000 0.4341 0.2806  1.15
Fe 0.5000 0.5659 0.7194  1.15
Fe 0.5000 0.7194 0.4341  1.15
Tb 0.0000 0.8222 0.6778  -0.22
Tb 0.0000 0.1778 0.3222  -0.22
Tb 0.0000 0.3222 0.8222  -0.22
Tb 0.0000 0.6778 0.1778  -0.22
Si 0.0000 0.5000 0.5000  -0.05
Si 0.0000 0.0000 0.0000  -0.05

The symmetry is P4/mbm (127). The uncorrected formation energy comes out at -0.2051 eV per atom. As for the total energy: -7.24 eV/atom.